[1]
DFT (meta-GGA SCAN) results for Dy5Sn18Os6 at its PBEsol-relaxed geometry.

Values from the calculation:
For the total energy, the calculation gives -45.7789 eV per atom.

extended XYZ file:
```
29
Lattice="0.000 6.888 6.888 6.888 0.000 6.888 6.888 6.888 0.000" Properties=species:S:1:pos:R:3 pbc="T T T"
Dy 0.000 0.000 0.000
Dy 8.653 5.123 5.123
Dy 5.123 8.653 5.123
Dy 5.123 5.123 8.653
Dy 8.653 8.653 8.653
Sn 2.406 2.406 0.026
Sn 4.482 4.482 0.026
Sn 2.406 0.026 2.406
Sn 6.862 4.482 2.406
Sn 4.482 0.026 4.482
Sn 6.862 2.406 4.482
Sn 3.444 3.444 3.444
Sn 0.026 2.406 2.406
Sn 4.482 6.862 2.406
Sn 4.482 2.406 6.862
Sn 5.587 5.587 5.587
Sn 8.189 8.189 5.587
Sn 8.189 5.587 8.189
Sn 0.026 4.482 4.482
Sn 2.406 6.862 4.482
Sn 2.406 4.482 6.862
Sn 10.332 10.332 10.332
Sn 5.587 8.189 8.189
Os 6.888 6.888 3.521
Os 6.888 3.521 6.888
Os 10.255 6.888 6.888
Os 3.521 6.888 6.888
Os 6.888 10.255 6.888
Os 6.888 6.888 10.255
```

***

[2]
DFT (meta-GGA SCAN) results for DyP5 at its PBEsol-relaxed geometry.

Values from the calculation:
For the total energy, the calculation gives -17.2569 eV per atom.

extended XYZ file:
```
12
Lattice="4.846 0.000 0.000 0.000 9.332 0.000 -1.192 0.000 5.150" Properties=species:S:1:pos:R:3 pbc="T T T"
Dy -0.367 2.333 1.803
Dy 4.022 6.999 3.348
P 0.230 2.333 4.620
P 0.882 4.957 2.082
P 0.882 9.041 2.082
P 1.799 5.537 0.208
P 1.799 8.461 0.208
P 1.856 0.871 4.943
P 1.856 3.795 4.943
P 2.773 0.291 3.068
P 2.773 4.375 3.068
P 3.424 6.999 0.531
```

***

[3]
DFT (meta-GGA SCAN) results for Dy3P6Pd20 at its PBEsol-relaxed geometry.

Values from the calculation:
For the total energy, the calculation gives -30.4926 eV per atom.

extended XYZ file:
```
29
Lattice="0.000 6.036 6.036 6.036 0.000 6.036 6.036 6.036 0.000" Properties=species:S:1:pos:R:3 pbc="T T T"
Dy 0.000 0.000 0.000
Dy 3.018 3.018 3.018
Dy 9.055 9.055 9.055
P 6.036 6.036 3.175
P 6.036 3.175 6.036
P 8.898 6.036 6.036
P 3.175 6.036 6.036
P 6.036 8.898 6.036
P 6.036 6.036 8.898
Pd 2.089 2.089 0.000
Pd 3.947 3.947 0.000
Pd 2.089 0.000 2.089
Pd 6.036 3.947 2.089
Pd 3.947 0.000 3.947
Pd 6.036 2.089 3.947
Pd 7.431 4.642 4.642
Pd 0.000 2.089 2.089
Pd 3.947 6.036 2.089
Pd 3.947 2.089 6.036
Pd 4.642 4.642 4.642
Pd 7.431 7.431 4.642
Pd 7.431 4.642 7.431
Pd 4.642 7.431 4.642
Pd 4.642 4.642 7.431
Pd 7.431 7.431 7.431
Pd 0.000 3.947 3.947
Pd 2.089 6.036 3.947
Pd 2.089 3.947 6.036
Pd 4.642 7.431 7.431
```

***

[4]
DFT (meta-GGA SCAN) results for DyP2Pt8 at its PBEsol-relaxed geometry.

Values from the calculation:
For the total energy, the calculation gives -58.0181 eV per atom.

extended XYZ file:
```
11
Lattice="5.917 -1.993 0.000 5.917 1.993 0.000 -5.630 0.000 7.365" Properties=species:S:1:pos:R:3 pbc="T T T"
Dy 0.000 0.000 0.000
P 4.039 0.000 1.527
P 2.166 0.000 5.838
Pt -1.773 0.000 2.733
Pt -1.904 0.000 6.705
Pt 0.128 0.000 4.841
Pt 1.982 0.000 2.576
Pt 4.223 0.000 4.789
Pt 6.077 0.000 2.524
Pt 8.109 0.000 0.660
Pt 7.978 0.000 4.632
```

***

[5]
DFT (meta-GGA SCAN) results for DyPPt at its PBEsol-relaxed geometry.

Values from the calculation:
For the total energy, the calculation gives -44.3654 eV per atom.

extended XYZ file:
```
3
Lattice="4.090 0.000 0.000 -2.045 3.542 0.000 0.000 0.000 3.800" Properties=species:S:1:pos:R:3 pbc="T T T"
Dy 0.000 0.000 0.000
P 0.000 2.361 1.900
Pt 2.045 1.181 1.900
```

***

[6]
DFT (meta-GGA SCAN) results for DyP2Ru2 at its PBEsol-relaxed geometry.

Values from the calculation:
For the total energy, the calculation gives -28.7899 eV per atom.

extended XYZ file:
```
5
Lattice="-2.000 2.000 4.732 2.000 -2.000 4.732 2.000 2.000 -4.732" Properties=species:S:1:pos:R:3 pbc="T T T"
Dy 0.000 0.000 0.000
P 0.000 0.000 3.557
P 0.000 0.000 5.906
Ru 2.000 0.000 2.366
Ru 0.000 2.000 2.366
```

***

[7]
DFT (meta-GGA SCAN) results for DyPaRu2 at its PBEsol-relaxed geometry.

Values from the calculation:
For the total energy, the calculation gives -54.7233 eV per atom.

extended XYZ file:
```
4
Lattice="0.000 3.367 3.367 3.367 0.000 3.367 3.367 3.367 0.000" Properties=species:S:1:pos:R:3 pbc="T T T"
Dy 0.000 0.000 0.000
Pa 3.367 3.367 3.367
Ru 1.683 1.683 1.683
Ru 5.050 5.050 5.050
```

***

[8]
DFT (meta-GGA SCAN) results for DyPaTc2 at its PBEsol-relaxed geometry.

Values from the calculation:
For the total energy, the calculation gives -54.5759 eV per atom.

extended XYZ file:
```
4
Lattice="0.000 3.375 3.375 3.375 0.000 3.375 3.375 3.375 0.000" Properties=species:S:1:pos:R:3 pbc="T T T"
Dy 0.000 0.000 0.000
Pa 3.375 3.375 3.375
Tc 1.687 1.687 1.687
Tc 5.062 5.062 5.062
```